{"formula": "Zn2CdGa", "functional": "PBE-GGA", "state": "relaxed", "e_tot_ev_per_cell": -6.1, "e_form_kj_per_mol_fu": 36, "dos_at_fermi_per_ev_atom": 0.34, "lattice": [[4.327, 0.000, 0.000], [2.164, 3.747, 0.000], [2.164, 1.249, 4.794]], "species": ["Zn", "Zn", "Cd", "Ga"], "frac_coords": [[0.065, 0.065, 0.806], [0.264, 0.264, 0.209], [0.489, 0.489, 0.532], [0.682, 0.682, 0.953]]}

***

{"formula": "HfTiNi", "functional": "PBE-GGA", "state": "relaxed", "e_tot_ev_per_cell": -49.0, "e_form_kj_per_mol_fu": -82, "dos_at_fermi_per_ev_atom": 0.86, "lattice": [[-3.870, 1.066, -1.746], [-2.037, -2.543, 2.963], [1.596, 3.454, 4.059]], "species": ["Hf", "Hf", "Ti", "Ti", "Ni", "Ni"], "frac_coords": [[0.100, 0.250, 0.200], [0.900, 0.750, 0.800], [0.409, 0.250, 0.818], [0.591, 0.750, 0.182], [0.248, 0.750, 0.496], [0.752, 0.250, 0.504]]}

***

{"formula": "SmDy8Ga6", "functional": "PBE-GGA", "state": "relaxed", "e_tot_ev_per_cell": -65.1, "e_form_kj_per_mol_fu": -521, "dos_at_fermi_per_ev_atom": 1.27, "lattice": [[8.663, 0.000, 0.000], [4.331, 7.502, 0.000], [4.331, 2.501, 6.159]], "species": ["Sm", "Dy", "Dy", "Dy", "Dy", "Dy", "Dy", "Dy", "Dy", "Ga", "Ga", "Ga", "Ga", "Ga", "Ga"], "frac_coords": [[0.000, 0.000, 0.000], [0.555, 0.222, 0.336], [0.778, 0.113, 0.664], [0.113, 0.445, 0.664], [0.667, 0.667, 0.998], [0.333, 0.333, 0.002], [0.887, 0.555, 0.336], [0.222, 0.887, 0.336], [0.445, 0.778, 0.664], [0.396, 0.059, 0.823], [0.941, 0.278, 0.177], [0.278, 0.604, 0.177], [0.722, 0.396, 0.823], [0.059, 0.722, 0.823], [0.604, 0.941, 0.177]]}

***

{"formula": "KGe4Pt4", "functional": "PBE-GGA", "state": "relaxed", "e_tot_ev_per_cell": -94.8, "e_form_kj_per_mol_fu": -355, "dos_at_fermi_per_ev_atom": 0.46, "lattice": [[6.485, 0.000, 0.000], [0.000, 6.485, 0.000], [0.000, 0.000, 8.392]], "species": ["K", "K", "Ge", "Ge", "Ge", "Ge", "Ge", "Ge", "Ge", "Ge", "Pt", "Pt", "Pt", "Pt", "Pt", "Pt", "Pt", "Pt"], "frac_coords": [[0.000, 0.000, 0.000], [0.500, 0.500, 0.500], [0.500, 0.756, 0.875], [0.500, 0.244, 0.875], [0.756, 0.500, 0.125], [0.244, 0.500, 0.125], [0.256, 0.000, 0.375], [0.744, 0.000, 0.375], [0.000, 0.256, 0.625], [0.000, 0.744, 0.625], [0.211, 0.500, 0.823], [0.789, 0.500, 0.823], [0.500, 0.789, 0.177], [0.500, 0.211, 0.177], [0.000, 0.711, 0.323], [0.000, 0.289, 0.323], [0.289, 0.000, 0.677], [0.711, 0.000, 0.677]]}

***

{"formula": "KNbOs2Pd", "functional": "PBE-GGA", "state": "relaxed", "e_tot_ev_per_cell": -31.3, "e_form_kj_per_mol_fu": 725, "dos_at_fermi_per_ev_atom": 1.10, "lattice": [[-0.580, -0.372, -4.793], [5.022, -0.894, -0.539], [-0.796, -4.753, 0.465]], "species": ["Nb", "Os", "Os", "K", "Pd"], "frac_coords": [[0.000, 0.000, 0.000], [0.000, 0.000, 0.500], [0.500, 0.000, 0.000], [0.500, 0.500, 0.500], [0.000, 0.500, 0.000]]}

***

{"formula": "KScAl2", "functional": "PBE-GGA", "state": "relaxed", "e_tot_ev_per_cell": -13.2, "e_form_kj_per_mol_fu": 169, "dos_at_fermi_per_ev_atom": 0.95, "lattice": [[-2.856, -3.468, -3.290], [3.414, -4.156, -1.443], [-1.243, 2.104, 5.003]], "species": ["Sc", "K", "Al", "Al"], "frac_coords": [[0.750, 0.250, 0.500], [0.500, 0.500, 0.000], [0.000, 0.000, 0.000], [0.250, 0.750, 0.500]]}

***

{"formula": "LaBe2P", "functional": "PBE-GGA", "state": "relaxed", "e_tot_ev_per_cell": -17.4, "e_form_kj_per_mol_fu": 34, "dos_at_fermi_per_ev_atom": 0.41, "lattice": [[-1.381, -0.167, 2.910], [-2.799, -0.852, -1.377], [1.623, -6.019, 0.424]], "species": ["P", "Be", "Be", "La"], "frac_coords": [[0.500, 0.500, 0.750], [0.000, 0.000, 0.914], [0.000, 0.000, 0.586], [0.500, 0.500, 0.250]]}

***

{"formula": "Pu3AsH", "functional": "PBE-GGA", "state": "relaxed", "e_tot_ev_per_cell": -52.8, "dos_at_fermi_per_ev_atom": 3.48, "lattice": [[-3.862, 1.902, -1.768], [0.139, -3.012, -3.545], [-2.593, -2.995, 2.443]], "species": ["H", "As", "Pu", "Pu", "Pu"], "frac_coords": [[0.000, 0.000, 0.000], [0.500, 0.500, 0.500], [0.000, 0.500, 0.000], [0.000, 0.000, 0.500], [0.500, 0.000, 0.000]]}

***

{"formula": "KAsRuSe2", "functional": "PBE-GGA", "state": "relaxed", "e_tot_ev_per_cell": -22.2, "dos_at_fermi_per_ev_atom": 1.28, "e_form_raw_ev_per_atom": -0.050, "lattice": [[5.214, 0.000, 0.000], [0.000, 5.214, 0.000], [0.000, 0.000, 4.667]], "species": ["Ru", "As", "K", "Se", "Se"], "frac_coords": [[0.000, 0.000, 0.000], [0.000, 0.000, 0.500], [0.500, 0.500, 0.500], [0.000, 0.500, 0.000], [0.500, 0.000, 0.000]]}

***

{"formula": "KRb", "functional": "PBE-GGA", "state": "relaxed", "e_tot_ev_per_cell": -4.1, "e_form_kj_per_mol_fu": 1, "dos_at_fermi_per_ev_atom": 0.70, "lattice": [[-3.550, -3.203, 0.459], [4.879, -5.782, -2.610], [2.417, -1.541, 7.934]], "species": ["K", "K", "Rb", "Rb"], "frac_coords": [[0.000, 0.250, 0.339], [0.000, 0.750, 0.661], [0.500, 0.250, 0.831], [0.500, 0.750, 0.169]]}

***

{"formula": "KIn6Ga", "functional": "PBE-GGA", "state": "relaxed", "e_tot_ev_per_cell": -21.0, "e_form_kj_per_mol_fu": -43, "dos_at_fermi_per_ev_atom": 0.05, "lattice": [[5.057, 0.000, 1.548], [2.292, 4.508, 1.548], [-0.377, -0.231, 10.267]], "species": ["K", "In", "In", "In", "In", "In", "In", "Ga"], "frac_coords": [[0.500, 0.500, 0.500], [0.635, 0.635, 0.096], [0.096, 0.096, 0.713], [0.904, 0.904, 0.287], [0.365, 0.365, 0.904], [0.258, 0.258, 0.226], [0.742, 0.742, 0.774], [0.000, 0.000, 0.000]]}

***

{"formula": "Rb3Li2AgCl6", "functional": "PBE-GGA", "state": "relaxed", "e_tot_ev_per_cell": -39.3, "dos_at_fermi_per_ev_atom": 0.00, "e_form_raw_ev_per_atom": -1.557, "lattice": [[7.549, 0.000, 0.000], [-3.774, 6.537, 0.000], [0.000, 0.000, 8.357]], "species": ["Rb", "Rb", "Rb", "Li", "Li", "Ag", "Cl", "Cl", "Cl", "Cl", "Cl", "Cl"], "frac_coords": [[0.333, 0.667, 0.625], [0.667, 0.333, 0.375], [0.000, 0.000, 0.000], [0.667, 0.333, 0.775], [0.333, 0.667, 0.225], [0.000, 0.000, 0.500], [0.665, 0.833, 0.291], [0.167, 0.335, 0.291], [0.167, 0.833, 0.291], [0.833, 0.665, 0.709], [0.335, 0.167, 0.709], [0.833, 0.167, 0.709]]}